{"formula": "SbMoSe2O", "functional": "PBE+U", "state": "optimized geometry", "cell": [[4.703, 0.000, 0.000], [0.000, 4.498, 0.000], [0.000, 0.000, 4.703]], "species": ["Mo", "Se", "Sb", "O", "Se"], "frac_coords": [[0.500, 0.500, 0.500], [0.500, 0.000, 0.000], [0.000, 0.500, 0.000], [0.000, 0.000, 0.000], [0.000, 0.000, 0.500]], "density_g_cm3": 6.54, "n_ef_per_ev_cell": 2.366, "magnetic_moment_mub_per_cell": 3.0, "final_energy_ev_per_atom": -4.22, "sg": "P4/mmm (123)"}